Na2VS2O9: single point on PBEsol structure, SCAN.

Summary:
- Calculated volume: 716.2 Å³/cell
- Spin magnetization: 0.07 μB/atom
- Space group: P2_12_12_1
- D(E_F): 0.00 states/eV/cell
- ΔE_f (raw): -2.034 eV per atom

Cell and atoms, written as POSCAR:
```
Na2VS2O9
1.0
6.292 0.000 0.000
0.000 6.820 0.000
0.000 0.000 16.688
Na V S O
8 4 8 36
Cartesian
0.830 0.685 4.272
1.387 4.270 9.730
1.759 2.551 1.386
2.316 6.136 12.616
3.976 2.726 12.415
4.533 5.961 6.958
4.905 0.860 15.302
5.462 4.095 4.072
0.226 4.472 15.176
2.920 2.349 6.833
3.372 5.759 1.511
6.066 1.061 9.855
0.238 6.194 1.162
0.902 2.761 12.496
2.244 4.059 4.152
2.909 0.626 9.506
3.384 4.036 15.525
4.048 0.649 4.192
5.390 6.171 12.536
6.055 2.784 7.182
0.072 3.147 13.704
0.127 5.900 13.597
0.160 6.172 16.351
0.279 3.398 16.374
0.327 0.748 1.620
0.942 2.072 6.590
1.396 2.937 3.698
1.403 5.380 1.597
1.428 5.221 4.468
1.718 1.599 12.812
1.744 1.441 9.941
1.750 3.884 12.042
2.204 4.748 14.934
2.819 6.072 9.964
2.867 3.422 8.030
2.986 0.648 8.007
3.019 0.920 5.253
3.074 3.674 5.360
3.218 0.264 2.984
3.273 4.331 3.091
3.306 4.058 0.337
3.425 0.012 0.314
3.473 2.662 15.068
4.088 1.338 10.098
4.542 0.473 12.989
4.549 4.851 15.090
4.574 5.010 12.220
4.864 1.811 3.876
4.890 1.969 6.747
4.896 6.347 4.645
5.350 5.483 1.754
5.965 4.159 6.724
6.014 6.808 8.658
6.132 2.762 8.681
6.165 2.490 11.434
6.220 6.557 11.328
```